# Te2PdW

Te2PdW after structural relaxation (PBE-GGA, Alexandria via LeMat-Bulk).

Unit cell a=7.306 b=7.306 c=7.306 alpha=129.63 beta=129.63 gamma=73.99
Fractional coordinates of all 8 atoms:
Te 0.119 0.625 0.994
Te 0.375 0.369 0.494
Te 0.631 0.125 0.006
Te 0.875 0.881 0.506
Pd 0.250 0.750 0.500
Pd 0.500 0.500 0.000
W 0.000 0.000 0.000
W 0.750 0.250 0.500

## Properties
- Formation energy from raw total energies: 436 meV/atom
- Magnetic moment: 0.000 μB per atom
- Polymorph energy (0 for the lowest one): 0.80 eV per formula unit
- Volume: 225.6 Å³ per cell
- N(E_F): 0.759 states/eV/atom